The following is a PBEsol calculation of a relaxed Ba2LaI7 crystal, from Alexandria.

Cell: 9.1073 10.1766 10.8614 Å, 65.74 65.21 63.42°
With the nearest neighbours (Å) after each atom.
Element x y z (fractional)
I 0.9298 0.9029 0.9215  2 La 3.41-3.52, 3 I 3.66-3.81, 2 Ba 3.66-3.76
I 0.3200 0.9594 0.6471  1 La 3.24, 3 Ba 3.43-3.53, 1 I 3.62
I 0.1197 0.7963 0.4641  1 La 3.30, 2 Ba 3.53-3.55
I 0.6148 0.7500 0.2500  1 La 3.38, 2 Ba 3.47, 2 I 3.77
I 0.9265 0.5406 0.8529  1 La 3.24, 3 Ba 3.43-3.53, 1 I 3.62
I 0.7542 0.5971 0.5785  2 La 3.41-3.52, 3 I 3.66-3.81, 2 Ba 3.66-3.76
I 0.3800 0.7037 0.0359  1 La 3.30, 2 Ba 3.53-3.55
I 0.6200 0.2963 0.9641  1 La 3.30, 2 Ba 3.53-3.55
I 0.2458 0.4029 0.4215  2 La 3.41-3.52, 3 I 3.66-3.81, 2 Ba 3.66-3.76
I 0.0735 0.4594 0.1471  1 La 3.24, 3 Ba 3.43-3.53, 1 I 3.62
I 0.3852 0.2500 0.7500  1 La 3.38, 2 Ba 3.47, 2 I 3.77
I 0.8803 0.2037 0.5359  1 La 3.30, 2 Ba 3.53-3.55
I 0.6800 0.0406 0.3529  1 La 3.24, 3 Ba 3.43-3.53, 1 I 3.62
I 0.0702 0.0971 0.0785  2 La 3.41-3.52, 3 I 3.66-3.81, 2 Ba 3.66-3.76
Ba 0.7025 0.9069 0.6990  8 I 3.43-3.76
Ba 0.3085 0.5931 0.8010  8 I 3.43-3.76
Ba 0.6915 0.4069 0.1990  8 I 3.43-3.76
Ba 0.2975 0.0931 0.3010  8 I 3.43-3.76
La 0.9855 0.7500 0.2500  9 I 3.24-3.52
La 0.0145 0.2500 0.7500  9 I 3.24-3.52

Output
**Raw formation energy**: -1.63 eV per atom

***

The following is a PBEsol calculation of a relaxed BaLaI5 crystal, from Alexandria.

Cell: 4.7629 8.6186 14.8033 Å, 89.56 90.00 90.00°
With the nearest neighbours (Å) after each atom.
Element x y z (fractional)
Ba 0.7500 0.0595 0.1546  7 I 3.38-3.57
Ba 0.2500 0.9405 0.8454  7 I 3.38-3.57
La 0.2500 0.4254 0.3502  7 I 3.14-3.33
La 0.7500 0.5746 0.6498  7 I 3.14-3.33
I 0.2500 0.0581 0.3344  1 La 3.18
I 0.7500 0.1757 0.9315  3 Ba 3.38-3.44
I 0.7500 0.3125 0.4858  3 La 3.26-3.33
I 0.2500 0.3657 0.1414  1 La 3.14
I 0.2500 0.3492 0.7083  2 La 3.19
I 0.7500 0.6508 0.2917  2 La 3.19
I 0.7500 0.6343 0.8586  1 La 3.14
I 0.2500 0.6875 0.5142  3 La 3.26-3.33
I 0.2500 0.8243 0.0685  3 Ba 3.38-3.44
I 0.7500 0.9419 0.6656  1 La 3.18

Output
**E above lowest polymorph**: 0.0200 eV per atom
**Raw formation energy**: -1.59 eV per atom

***

The following is a PBEsol calculation of a relaxed BaLa2I8 crystal, from Alexandria.

Cell: 6.2038 8.6724 8.6724 Å, 111.25 98.27 98.27°
With the nearest neighbours (Å) after each atom.
Element x y z (fractional)
I 0.4182 0.6774 0.9368  2 La 3.26
I 0.4182 0.9368 0.6774  2 La 3.26
I 0.8104 0.6192 0.6192  2 La 3.27, 1 Ba 3.61
I 0.0000 0.2446 0.7554  2 La 3.28, 1 Ba 3.50
I 0.0000 0.7554 0.2446  2 La 3.28, 1 Ba 3.50
I 0.1896 0.3808 0.3808  2 La 3.27, 1 Ba 3.61
I 0.5818 0.0632 0.3226  2 La 3.26
I 0.5818 0.3226 0.0632  2 La 3.26
Ba 0.0000 0.0000 0.0000  4 I 3.50-3.61
La 0.5000 0.6814 0.3186  8 I 3.26-3.28
La 0.5000 0.3186 0.6814  8 I 3.26-3.28

Output
**Raw formation energy**: -1.53 eV per atom

***

The following is a PBEsol calculation of a relaxed BaLaIO2 crystal, from Alexandria.

Cell: 4.7011 4.7011 6.1097 Å, 90.00 90.00 90.00°
With the nearest neighbours (Å) after each atom.
Element x y z (fractional)
I 0.0000 0.0000 0.5000  2 La 3.05, 4 Ba 3.32
Ba 0.5000 0.5000 0.5000  4 I 3.32
O 0.0000 0.5000 0.0000  2 La 2.35
O 0.5000 0.0000 0.0000  2 La 2.35
La 0.0000 0.0000 0.0000  4 O 2.35

Output
**Raw formation energy**: -2.03 eV per atom

***

The following is a PBEsol calculation of a relaxed BaLiI2 crystal, from Alexandria.

Cell: 8.2749 7.0419 8.2749 Å, 54.02 90.00 125.98°
With the nearest neighbours (Å) after each atom.
Element x y z (fractional)
I 0.5505 0.7500 0.3750  2 Li 2.71
I 0.1995 0.7500 0.8750  2 Li 2.71
I 0.8750 0.2500 0.5505  2 Li 2.71
I 0.3750 0.2500 0.1995  2 Li 2.71
Ba 0.7500 0.5000 0.7500  8 I 3.53-3.88, 2 Li 3.92
Ba 0.0000 0.0000 0.0000  8 I 3.53-3.88, 2 Li 3.92
Li 0.2500 0.5000 0.2500  4 I 2.71
Li 0.5000 0.0000 0.5000  4 I 2.71

Output
**E above lowest polymorph**: 0.0000 eV per atom
**Raw formation energy**: -1.15 eV per atom

***

The following is a PBEsol calculation of a relaxed BaLiI2 crystal, from Alexandria.

Cell: 5.8029 5.8029 5.8029 Å, 60.00 60.00 60.00°
With the nearest neighbours (Å) after each atom.
Element x y z (fractional)
I 0.2500 0.2500 0.2500  4 Li 3.55, 4 Ba 3.55
I 0.7500 0.7500 0.7500  4 Ba 3.55, 4 Li 3.55
Ba 0.5000 0.5000 0.5000  8 I 3.55
Li 0.0000 0.0000 0.0000  8 I 3.55

Output
**E above lowest polymorph**: 0.0592 eV per atom
**Raw formation energy**: -1.09 eV per atom

***

The following is a PBEsol calculation of a relaxed BaLiIO2 crystal, from Alexandria.

Cell: 4.5875 4.5875 4.8320 Å, 90.00 90.00 90.00°
With the nearest neighbours (Å) after each atom.
Element x y z (fractional)
I 0.0000 0.0000 0.5000  2 Li 2.42
Ba 0.5000 0.5000 0.5000  4 I 3.24, 8 O 3.33
O 0.0000 0.5000 0.0000  2 Li 2.29
O 0.5000 0.0000 0.0000  2 Li 2.29
Li 0.0000 0.0000 0.0000  4 O 2.29, 2 I 2.42

Output
**Raw formation energy**: -0.86 eV per atom

***

The following is a PBEsol calculation of a relaxed Ba2MgOsI crystal, from Alexandria.

Cell: 5.2645 6.2418 6.2418 Å, 90.00 90.00 90.00°
With the nearest neighbours (Å) after each atom.
Element x y z (fractional)
I 0.5000 0.0000 0.0000  2 Mg 2.63
Mg 0.0000 0.0000 0.0000  2 I 2.63
Os 0.5000 0.5000 0.5000  8 Ba 4.08, 4 I 4.41
Ba 0.0000 0.0000 0.5000  2 Mg 3.12
Ba 0.0000 0.5000 0.0000  2 Mg 3.12

Output
**Raw formation energy**: 1.21 eV per atom

***

The following is a PBEsol calculation of a relaxed Ba2MgSI crystal, from Alexandria.

Cell: 5.9037 5.9037 6.6366 Å, 90.00 90.00 90.00°
With the nearest neighbours (Å) after each atom.
Element x y z (fractional)
I 0.0000 0.0000 0.5000  2 S 3.32
S 0.0000 0.0000 0.0000  4 Ba 2.95
Mg 0.5000 0.5000 0.5000  4 I 4.17, 8 Ba 4.44
Ba 0.0000 0.5000 0.0000  2 S 2.95
Ba 0.5000 0.0000 0.0000  2 S 2.95

Output
**Raw formation energy**: -0.63 eV per atom

***

The following is a PBEsol calculation of a relaxed BaMgTaI2 crystal, from Alexandria.

Cell: 5.5872 5.6233 5.6233 Å, 90.00 90.00 90.00°
With the nearest neighbours (Å) after each atom.
Element x y z (fractional)
I 0.0000 0.0000 0.5000  2 Mg 2.81
I 0.0000 0.5000 0.0000  2 Mg 2.81
Mg 0.0000 0.0000 0.0000  2 Ta 2.79, 4 I 2.81
Ba 0.5000 0.5000 0.5000  8 I 3.96, 4 Ta 3.98
Ta 0.5000 0.0000 0.0000  2 Mg 2.79

Output
**Raw formation energy**: 0.48 eV per atom

***

The following is a PBEsol calculation of a relaxed BaMn3I crystal, from Alexandria.

Cell: 4.9402 4.9402 4.9402 Å, 90.00 90.00 90.00°
With the nearest neighbours (Å) after each atom.
Element x y z (fractional)
I 0.0000 0.0000 0.0000  6 Mn 2.47
Mn 0.0000 0.5000 0.0000  2 I 2.47
Mn 0.0000 0.0000 0.5000  2 I 2.47
Mn 0.5000 0.0000 0.0000  2 I 2.47
Ba 0.5000 0.5000 0.5000  12 Mn 3.49

Output
**Raw formation energy**: 1.15 eV per atom

***

The following is a PBEsol calculation of a relaxed BaMnI3 crystal, from Alexandria.

Cell: 6.5690 6.5690 6.5690 Å, 90.00 90.00 90.00°
With the nearest neighbours (Å) after each atom.
Element x y z (fractional)
I 0.0000 0.5000 0.0000  2 Ba 3.28
I 0.0000 0.0000 0.5000  2 Ba 3.28
I 0.5000 0.0000 0.0000  2 Ba 3.28
Mn 0.5000 0.5000 0.5000  12 I 4.65
Ba 0.0000 0.0000 0.0000  6 I 3.28

Output
**Raw formation energy**: -0.24 eV per atom

***

The following is a PBEsol calculation of a relaxed BaMnIO2 crystal, from Alexandria.

Cell: 4.5019 4.5019 6.7701 Å, 90.00 90.00 90.00°
With the nearest neighbours (Å) after each atom.
Element x y z (fractional)
I 0.0000 0.0000 0.5000  4 Mn 3.18, 2 Ba 3.39
Mn 0.5000 0.5000 0.5000  4 I 3.18
Ba 0.0000 0.0000 0.0000  4 O 2.25
O 0.0000 0.5000 0.0000  2 Ba 2.25
O 0.5000 0.0000 0.0000  2 Ba 2.25

Output
**Raw formation energy**: -0.07 eV per atom

***

The following is a PBEsol calculation of a relaxed BaMoI3 crystal, from Alexandria.

Cell: 5.5397 5.5397 5.5397 Å, 90.00 90.00 90.00°
With the nearest neighbours (Å) after each atom.
Element x y z (fractional)
I 0.0000 0.5000 0.0000  2 Mo 2.77
I 0.0000 0.0000 0.5000  2 Mo 2.77
I 0.5000 0.0000 0.0000  2 Mo 2.77
Mo 0.0000 0.0000 0.0000  6 I 2.77
Ba 0.5000 0.5000 0.5000  12 I 3.92

Output
**Raw formation energy**: -0.34 eV per atom

***

The following is a PBEsol calculation of a relaxed BaMoIN2 crystal, from Alexandria.

Cell: 4.2474 4.2474 5.3912 Å, 90.00 90.00 90.00°
With the nearest neighbours (Å) after each atom.
Element x y z (fractional)
I 0.0000 0.0000 0.5000  2 Mo 2.70, 4 Ba 3.00
Mo 0.0000 0.0000 0.0000  4 N 2.12
Ba 0.5000 0.5000 0.5000  4 I 3.00
N 0.0000 0.5000 0.0000  2 Mo 2.12
N 0.5000 0.0000 0.0000  2 Mo 2.12

Output
**Raw formation energy**: 0.07 eV per atom

***

The following is a PBEsol calculation of a relaxed BaMo6I2O25 crystal, from Alexandria.

Cell: 7.5324 7.6733 20.4270 Å, 85.41 79.38 60.61°
With the nearest neighbours (Å) after each atom.
Element x y z (fractional)
Ba 0.3895 0.2500 0.7500  7 O 2.64-2.82
Ba 0.6105 0.7500 0.2500  7 O 2.64-2.82
Mo 0.0252 0.4732 0.4149  3 O 1.72-1.85
Mo 0.9133 0.0268 0.0851  3 O 1.72-1.85
Mo 0.9748 0.5268 0.5851  3 O 1.72-1.85
Mo 0.0867 0.9732 0.9149  3 O 1.72-1.85
Mo 0.5803 0.2471 0.3459  2 O 1.70-1.71
Mo 0.1733 0.2529 0.1541  2 O 1.70-1.71
Mo 0.4197 0.7529 0.6541  2 O 1.70-1.71
Mo 0.8267 0.7471 0.8459  2 O 1.70-1.71
Mo 0.0615 0.9556 0.4152  3 O 1.71-1.84
Mo 0.4324 0.5444 0.0848  3 O 1.71-1.84
Mo 0.9385 0.0444 0.5848  3 O 1.71-1.84
Mo 0.5676 0.4556 0.9152  3 O 1.71-1.84
I 0.4972 0.2479 0.5052  4 O 1.84-2.05
I 0.2504 0.2521 0.9948  4 O 1.84-2.05
I 0.5028 0.7521 0.4948  4 O 1.84-2.05
I 0.7496 0.7479 0.0052  4 O 1.84-2.05
O 0.1871 0.4100 0.5030  1 Mo 2.00, 1 I 2.05
O 0.1001 0.0900 0.9970  1 Mo 2.00, 1 I 2.05
O 0.8129 0.5900 0.4970  1 Mo 2.00, 1 I 2.05
O 0.8999 0.9100 0.0030  1 Mo 2.00, 1 I 2.05
O 0.5366 0.4117 0.4395  1 I 1.85
O 0.3878 0.0883 0.0605  1 I 1.85
O 0.4634 0.5883 0.5605  1 I 1.85
O 0.6122 0.9117 0.9395  1 I 1.85
O 0.8104 0.0935 0.5028  2 Mo 2.00-2.23, 1 I 2.05
O 0.4067 0.4065 0.9972  2 Mo 2.00-2.23, 1 I 2.05
O 0.1896 0.9065 0.4972  2 Mo 2.00-2.23, 1 I 2.05
O 0.5933 0.5935 0.0028  2 Mo 2.00-2.23, 1 I 2.05
O 0.5263 0.0798 0.4398  1 I 1.84
O 0.0459 0.4202 0.0602  1 I 1.84
O 0.4737 0.9202 0.5602  1 I 1.84
O 0.9541 0.5798 0.9398  1 I 1.84
O 0.0348 0.7412 0.4230  1 Mo 1.74
O 0.1991 0.7588 0.0770  1 Mo 1.74
O 0.9652 0.2588 0.5770  1 Mo 1.74
O 0.8009 0.2412 0.9230  1 Mo 1.74
O 0.2834 0.3900 0.3643  2 Mo 1.85-1.92
O 0.0376 0.1100 0.1357  2 Mo 1.85-1.92
O 0.7166 0.6100 0.6357  2 Mo 1.85-1.92
O 0.9624 0.8900 0.8643  2 Mo 1.85-1.92
O 0.8527 0.5900 0.3607  1 Mo 1.72
O 0.8035 0.9100 0.1393  1 Mo 1.72
O 0.1473 0.4100 0.6393  1 Mo 1.72
O 0.1965 0.0900 0.8607  1 Mo 1.72
O 0.0422 0.2380 0.4237  1 Mo 1.74
O 0.7039 0.2620 0.0763  1 Mo 1.74
O 0.9578 0.7620 0.5763  1 Mo 1.74
O 0.2961 0.7380 0.9237  1 Mo 1.74
O 0.6066 0.0637 0.2966  1 Mo 1.71
O 0.9669 0.4363 0.2034  1 Mo 1.71
O 0.3934 0.9363 0.7034  1 Mo 1.71
O 0.0331 0.5637 0.7966  1 Mo 1.71
O 0.6091 0.4173 0.2929  1 Mo 1.70
O 0.3192 0.0827 0.2071  1 Mo 1.70
O 0.3909 0.5827 0.7071  1 Mo 1.70
O 0.6808 0.9173 0.7929  1 Mo 1.70
O 0.8588 0.1010 0.3644  2 Mo 1.84-1.93
O 0.3241 0.3990 0.1356  2 Mo 1.84-1.93
O 0.1412 0.8990 0.6356  2 Mo 1.84-1.93
O 0.6759 0.6010 0.8644  2 Mo 1.84-1.93
O 0.2921 0.8760 0.3620  1 Mo 1.71
O 0.5301 0.6240 0.1380  1 Mo 1.71
O 0.7079 0.1240 0.6380  1 Mo 1.71
O 0.4699 0.3760 0.8620  1 Mo 1.71
O 0.0236 0.2500 0.7500  4 O 2.70-2.72, 1 Ba 2.76
O 0.9764 0.7500 0.2500  4 O 2.70-2.72, 1 Ba 2.76

Output
**Raw formation energy**: -1.59 eV per atom

***

The following is a PBEsol calculation of a relaxed BaRe2MoI crystal, from Alexandria.

Cell: 5.0498 5.0433 5.0433 Å, 90.00 90.00 90.00°
With the nearest neighbours (Å) after each atom.
Element x y z (fractional)
I 0.5000 0.5000 0.5000  4 Mo 3.57, 8 Re 3.57
Re 0.0000 0.0000 0.5000  2 Ba 2.52
Re 0.0000 0.5000 0.0000  2 Ba 2.52
Mo 0.5000 0.0000 0.0000  2 Ba 2.52
Ba 0.0000 0.0000 0.0000  4 Re 2.52, 2 Mo 2.52

Output
**Raw formation energy**: 3.77 eV per atom

***

The following is a PBEsol calculation of a relaxed Ba2IN crystal, from Alexandria.

Cell: 7.1196 7.1196 7.1196 Å, 77.35 67.01 112.99°
With the nearest neighbours (Å) after each atom.
Element x y z (fractional)
I 0.0000 0.0000 0.0000  4 Ba 3.53
I 0.5000 0.2500 0.2500  4 Ba 3.53
Ba 0.9045 0.1250 0.4705  2 N 2.56
Ba 0.0955 0.6250 0.7795  2 N 2.56
Ba 0.5955 0.4705 0.6250  2 N 2.56
Ba 0.4045 0.7795 0.1250  2 N 2.56
N 0.0000 0.5000 0.5000  4 Ba 2.56
N 0.5000 0.7500 0.7500  4 Ba 2.56

Output
**Raw formation energy**: -0.99 eV per atom

***

The following is a PBEsol calculation of a relaxed BaI2N2 crystal, from Alexandria.

Cell: 5.2566 5.2566 6.8461 Å, 90.00 90.00 90.00°
With the nearest neighbours (Å) after each atom.
Element x y z (fractional)
I 0.5000 0.5000 0.5000  4 I 3.72
I 0.0000 0.0000 0.5000  2 Ba 3.42, 4 I 3.72
Ba 0.0000 0.0000 0.0000  4 N 2.63
N 0.0000 0.5000 0.0000  2 Ba 2.63
N 0.5000 0.0000 0.0000  2 Ba 2.63

Output
**Raw formation energy**: 1.19 eV per atom

***

The following is a PBEsol calculation of a relaxed Ba3IN crystal, from Alexandria.

Cell: 6.3986 6.3986 6.3986 Å, 90.00 90.00 90.00°
With the nearest neighbours (Å) after each atom.
Element x y z (fractional)
I 0.0000 0.0000 0.0000  6 Ba 3.20
Ba 0.0000 0.5000 0.0000  2 I 3.20
Ba 0.0000 0.0000 0.5000  2 I 3.20
Ba 0.5000 0.0000 0.0000  2 I 3.20
N 0.5000 0.5000 0.5000  12 Ba 4.52

Output
**Raw formation energy**: 0.68 eV per atom

***

The following is a PBEsol calculation of a relaxed BaOsIN2 crystal, from Alexandria.

Cell: 4.3449 4.3449 6.6676 Å, 90.00 90.00 90.00°
With the nearest neighbours (Å) after each atom.
Element x y z (fractional)
I 0.0000 0.0000 0.5000  4 Os 3.07, 2 Ba 3.33
Os 0.5000 0.5000 0.5000  4 I 3.07
Ba 0.0000 0.0000 0.0000  4 N 2.17
N 0.0000 0.5000 0.0000  2 Ba 2.17
N 0.5000 0.0000 0.0000  2 Ba 2.17

Output
**Raw formation energy**: 2.56 eV per atom

***

The following is a PBEsol calculation of a relaxed BaPtIN2 crystal, from Alexandria.

Cell: 4.3881 4.3881 5.3020 Å, 90.00 90.00 90.00°
With the nearest neighbours (Å) after each atom.
Element x y z (fractional)
I 0.0000 0.0000 0.5000  2 Pt 2.65
Ba 0.5000 0.5000 0.5000  4 I 3.10, 8 N 3.44
Pt 0.0000 0.0000 0.0000  4 N 2.19
N 0.0000 0.5000 0.0000  2 Pt 2.19
N 0.5000 0.0000 0.0000  2 Pt 2.19

Output
**Raw formation energy**: 0.68 eV per atom

***

The following is a PBEsol calculation of a relaxed Ba2RhIN crystal, from Alexandria.

Cell: 3.8302 5.8308 5.8308 Å, 90.00 90.00 90.00°
With the nearest neighbours (Å) after each atom.
Element x y z (fractional)
I 0.5000 0.5000 0.5000  8 Ba 3.49, 2 I 3.83
Rh 0.5000 0.0000 0.0000  2 N 1.92
Ba 0.0000 0.0000 0.5000  2 N 2.92
Ba 0.0000 0.5000 0.0000  2 N 2.92
N 0.0000 0.0000 0.0000  2 Rh 1.92

Output
**Raw formation energy**: -0.88 eV per atom